The following is a PBE calculation of a relaxed NaPm4ErS8 crystal, from the Alexandria database.

a b c (Å): 8.303 8.303 8.214
angles (deg): 59.64 59.64 60.00
Fractional positions:
Na  0.377  0.377  0.870
Pm  0.004  0.004  0.504
Pm  0.624  0.624  0.129
Pm  0.488  0.004  0.504
Pm  0.004  0.488  0.504
S  0.784  0.234  0.748
S  0.240  0.240  0.280
S  0.223  0.763  0.251
S  0.234  0.784  0.748
S  0.758  0.758  0.726
S  0.763  0.223  0.251
S  0.763  0.763  0.251
S  0.234  0.234  0.748
Er  0.005  0.005  0.986

raw total energy = -6.067 eV per atom
D(E_F) = 0.00 states/eV per cell
formation energy from raw total energies = -1.931 eV/atom
density = 4.28 g/cm3

---

The following is a PBE calculation of a relaxed Na2Pm3ErS6 crystal, from the Alexandria database.

a b c (Å): 6.945 6.945 6.943
angles (deg): 99.57 99.57 119.94
Fractional positions:
S  0.761  0.761  0.250
S  0.082  0.405  0.245
S  0.595  0.918  0.755
S  0.405  0.082  0.245
S  0.918  0.595  0.755
S  0.239  0.239  0.750
Na  0.666  0.334  0.000
Na  0.334  0.666  0.000
Er  0.000  0.000  0.000
Pm  0.829  0.171  0.500
Pm  0.500  0.500  0.500
Pm  0.171  0.829  0.500

raw total energy = -5.724 eV per atom
D(E_F) = 3.17 states/eV per cell
formation energy from raw total energies = -1.872 eV/atom
density = 5.10 g/cm3

---

The following is a PBE calculation of a relaxed NaPmEr2S4 crystal, from the Alexandria database.

a b c (Å): 3.912 6.882 6.842
angles (deg): 71.05 90.00 90.00
Fractional positions:
S  0.000  0.763  0.743
S  0.000  0.237  0.257
S  0.500  0.764  0.245
S  0.500  0.236  0.755
Er  0.000  0.000  0.000
Er  0.500  0.000  0.500
Na  0.000  0.500  0.500
Pm  0.500  0.500  0.000

raw total energy = -5.881 eV per atom
D(E_F) = 2.50 states/eV per cell
formation energy from raw total energies = -1.918 eV/atom
density = 6.01 g/cm3

---

The following is a PBE calculation of a relaxed NaPm2ErS4 crystal, from the Alexandria database.

a b c (Å): 3.973 6.907 6.919
angles (deg): 109.15 90.00 90.00
Fractional positions:
Pm  0.500  0.000  0.500
Pm  0.000  0.500  0.500
Er  0.500  0.500  0.000
Na  0.000  0.000  0.000
S  0.500  0.745  0.755
S  0.000  0.258  0.762
S  0.500  0.255  0.245
S  0.000  0.742  0.238

raw total energy = -5.895 eV per atom
D(E_F) = 2.58 states/eV per cell
formation energy from raw total energies = -1.908 eV/atom
density = 5.63 g/cm3

---

The following is a PBE calculation of a relaxed Na4PmEr3Se8 crystal, from the Alexandria database.

a b c (Å): 8.297 8.491 8.297
angles (deg): 119.27 120.00 90.00
Fractional positions:
Na  0.000  0.000  0.500
Na  0.500  0.000  0.000
Na  0.500  0.000  0.500
Na  0.000  0.000  0.000
Se  0.736  0.730  0.983
Se  0.258  0.273  0.515
Se  0.247  0.730  0.983
Se  0.264  0.270  0.017
Se  0.753  0.270  0.506
Se  0.247  0.730  0.494
Se  0.742  0.727  0.485
Se  0.753  0.270  0.017
Er  0.500  0.500  0.500
Er  0.500  0.500  0.000
Er  0.000  0.500  0.500
Pm  0.000  0.500  0.000

raw total energy = -4.923 eV per atom
D(E_F) = 0.00 states/eV per cell
formation energy from raw total energies = -1.698 eV/atom
density = 5.45 g/cm3

---

The following is a PBE calculation of a relaxed Na3Pm2ErSe6 crystal, from the Alexandria database.

a b c (Å): 7.287 7.287 7.422
angles (deg): 99.42 99.42 120.01
Fractional positions:
Na  0.832  0.168  0.500
Na  0.500  0.500  0.500
Na  0.168  0.832  0.500
Se  0.248  0.248  0.768
Se  0.403  0.077  0.233
Se  0.752  0.752  0.232
Se  0.923  0.597  0.767
Se  0.077  0.403  0.233
Se  0.597  0.923  0.767
Pm  0.667  0.333  0.000
Pm  0.333  0.667  0.000
Er  0.000  0.000  0.000

raw total energy = -4.938 eV per atom
D(E_F) = 0.00 states/eV per cell
formation energy from raw total energies = -1.694 eV/atom
density = 5.15 g/cm3

---

The following is a PBE calculation of a relaxed NaPmEr2Se4 crystal, from the Alexandria database.

a b c (Å): 4.075 7.144 7.177
angles (deg): 108.87 90.00 90.00
Fractional positions:
Er  0.500  0.000  0.500
Er  0.000  0.500  0.500
Se  0.000  0.247  0.738
Se  0.000  0.753  0.262
Se  0.500  0.257  0.261
Se  0.500  0.743  0.739
Pm  0.000  0.000  0.000
Na  0.500  0.500  0.000

raw total energy = -5.374 eV per atom
D(E_F) = 2.56 states/eV per cell
formation energy from raw total energies = -1.732 eV/atom
density = 6.87 g/cm3

---

The following is a PBE calculation of a relaxed Na2Pm3ErSe6 crystal, from the Alexandria database.

a b c (Å): 7.224 7.224 7.248
angles (deg): 99.53 99.53 119.94
Fractional positions:
Pm  0.170  0.830  0.500
Pm  0.830  0.170  0.500
Pm  0.500  0.500  0.500
Se  0.919  0.593  0.757
Se  0.407  0.081  0.243
Se  0.759  0.759  0.249
Se  0.081  0.407  0.243
Se  0.241  0.241  0.751
Se  0.593  0.919  0.757
Er  0.000  0.000  0.000
Na  0.335  0.665  0.000
Na  0.665  0.335  0.000

raw total energy = -5.255 eV per atom
D(E_F) = 3.38 states/eV per cell
formation energy from raw total energies = -1.725 eV/atom
density = 6.02 g/cm3

---

The following is a PBE calculation of a relaxed NaPm2ErSe4 crystal, from the Alexandria database.

a b c (Å): 4.131 7.196 7.213
angles (deg): 109.03 90.00 90.00
Fractional positions:
Se  0.500  0.253  0.244
Se  0.500  0.747  0.756
Se  0.000  0.743  0.238
Se  0.000  0.257  0.762
Na  0.000  0.000  0.000
Pm  0.000  0.500  0.500
Pm  0.500  0.000  0.500
Er  0.500  0.500  0.000

raw total energy = -5.406 eV per atom
D(E_F) = 2.75 states/eV per cell
formation energy from raw total energies = -1.741 eV/atom
density = 6.52 g/cm3

---

The following is a PBE calculation of a relaxed Na2PmErSe4 crystal, from the Alexandria database.

a b c (Å): 4.183 7.246 7.420
angles (deg): 109.01 90.00 90.00
Fractional positions:
Na  0.000  0.500  0.500
Na  0.500  0.000  0.500
Er  0.000  0.000  0.000
Se  0.500  0.764  0.771
Se  0.500  0.236  0.229
Se  0.000  0.752  0.233
Se  0.000  0.248  0.767
Pm  0.500  0.500  0.000

raw total energy = -4.930 eV per atom
D(E_F) = 0.00 states/eV per cell
formation energy from raw total energies = -1.694 eV/atom
density = 5.26 g/cm3

---

The following is a PBE calculation of a relaxed NaPmEr4Se8 crystal, from the Alexandria database.

a b c (Å): 8.403 8.403 8.494
angles (deg): 60.35 60.35 60.00
Fractional positions:
Er  0.485  0.005  0.505
Er  0.005  0.005  0.505
Er  0.626  0.626  0.122
Er  0.005  0.485  0.505
Se  0.229  0.753  0.265
Se  0.758  0.758  0.725
Se  0.753  0.229  0.265
Se  0.245  0.778  0.731
Se  0.239  0.239  0.282
Se  0.778  0.245  0.731
Se  0.753  0.753  0.265
Se  0.245  0.245  0.731
Na  0.373  0.373  0.882
Pm  0.005  0.005  0.986

raw total energy = -5.486 eV per atom
D(E_F) = 0.00 states/eV per cell
formation energy from raw total energies = -1.758 eV/atom
density = 5.72 g/cm3

---

The following is a PBE calculation of a relaxed NaPm3Er2Se6 crystal, from the Alexandria database.

a b c (Å): 4.119 8.321 9.281
angles (deg): 103.22 102.82 90.00
Fractional positions:
Se  0.994  0.753  0.989
Se  0.670  0.576  0.340
Se  0.330  0.424  0.660
Se  0.331  0.907  0.663
Se  0.006  0.247  0.011
Se  0.669  0.093  0.337
Er  0.835  0.662  0.670
Er  0.165  0.338  0.330
Na  0.500  0.000  0.000
Pm  0.500  0.500  0.000
Pm  0.840  0.176  0.680
Pm  0.160  0.824  0.320

raw total energy = -5.554 eV per atom
D(E_F) = 3.61 states/eV per cell
formation energy from raw total energies = -1.753 eV/atom
density = 6.97 g/cm3

---

The following is a PBE calculation of a relaxed NaPm2ErTe4 crystal, from the Alexandria database.

a b c (Å): 4.401 7.686 7.720
angles (deg): 108.89 90.00 90.00
Fractional positions:
Te  0.000  0.744  0.239
Te  0.500  0.748  0.756
Te  0.000  0.256  0.761
Te  0.500  0.252  0.244
Na  0.000  0.000  0.000
Pm  0.500  0.000  0.500
Pm  0.000  0.500  0.500
Er  0.500  0.500  0.000

raw total energy = -4.828 eV per atom
D(E_F) = 3.25 states/eV per cell
formation energy from raw total energies = -1.335 eV/atom
density = 6.66 g/cm3

---

The following is a PBE calculation of a relaxed NaPrEr2 crystal, from the Alexandria database.

a b c (Å): 3.591 3.591 10.433
angles (deg): 90.00 90.00 90.00
Fractional positions:
Na  0.500  0.500  0.500
Er  0.000  0.000  0.234
Er  0.000  0.000  0.766
Pr  0.500  0.500  0.000

raw total energy = -3.639 eV per atom
D(E_F) = 5.64 states/eV per cell
formation energy = 64 kJ/mol of formula units
density = 6.15 g/cm3

---

The following is a PBE calculation of a relaxed NaPrEr2 crystal, from the Alexandria database.

a b c (Å): 3.529 3.529 12.891
angles (deg): 82.13 82.13 60.00
Fractional positions:
Pr  0.500  0.500  0.500
Er  0.091  0.091  0.726
Er  0.909  0.909  0.274
Na  0.000  0.000  0.000

raw total energy = -3.608 eV per atom
D(E_F) = 5.88 states/eV per cell
formation energy = 77 kJ/mol of formula units
density = 6.03 g/cm3

---

The following is a PBE calculation of a relaxed NaPrEr2S4 crystal, from the Alexandria database.

a b c (Å): 3.929 6.943 6.874
angles (deg): 71.14 90.00 90.00
Fractional positions:
S  0.000  0.233  0.260
S  0.500  0.768  0.246
S  0.500  0.232  0.754
S  0.000  0.767  0.740
Er  0.500  0.000  0.500
Er  0.000  0.000  0.000
Na  0.000  0.500  0.500
Pr  0.500  0.500  0.000

raw total energy = -5.880 eV per atom
D(E_F) = 2.58 states/eV per cell
formation energy from raw total energies = -1.913 eV/atom
density = 5.86 g/cm3

---

The following is a PBE calculation of a relaxed NaPr2ErS4 crystal, from the Alexandria database.

a b c (Å): 4.014 6.967 6.995
angles (deg): 109.15 90.00 90.00
Fractional positions:
Er  0.500  0.500  0.000
S  0.500  0.255  0.240
S  0.000  0.739  0.232
S  0.500  0.745  0.760
S  0.000  0.261  0.768
Na  0.000  0.000  0.000
Pr  0.500  0.000  0.500
Pr  0.000  0.500  0.500

raw total energy = -5.886 eV per atom
D(E_F) = 2.58 states/eV per cell
formation energy from raw total energies = -1.893 eV/atom
density = 5.39 g/cm3

---

The following is a PBE calculation of a relaxed Na2PrErS4 crystal, from the Alexandria database.

a b c (Å): 4.057 7.034 7.092
angles (deg): 109.30 90.00 90.00
Fractional positions:
Na  0.500  0.000  0.500
Na  0.000  0.500  0.500
S  0.500  0.256  0.232
S  0.000  0.732  0.227
S  0.000  0.268  0.773
S  0.500  0.744  0.768
Pr  0.000  0.000  0.000
Er  0.500  0.500  0.000

raw total energy = -5.369 eV per atom
D(E_F) = 0.00 states/eV per cell
formation energy from raw total energies = -1.807 eV/atom
density = 4.19 g/cm3

---

The following is a PBE calculation of a relaxed NaPrEr4S8 crystal, from the Alexandria database.

a b c (Å): 8.046 8.046 8.176
angles (deg): 60.52 60.52 60.00
Fractional positions:
S  0.231  0.751  0.268
S  0.246  0.246  0.726
S  0.781  0.246  0.726
S  0.751  0.751  0.268
S  0.758  0.758  0.726
S  0.246  0.781  0.726
S  0.238  0.238  0.287
S  0.751  0.231  0.268
Er  0.626  0.626  0.122
Er  0.005  0.005  0.504
Er  0.005  0.486  0.504
Er  0.486  0.005  0.504
Pr  0.004  0.004  0.988
Na  0.372  0.372  0.883

raw total energy = -6.036 eV per atom
D(E_F) = 0.00 states/eV per cell
formation energy from raw total energies = -1.938 eV/atom
density = 4.80 g/cm3

---

The following is a PBE calculation of a relaxed Na3PrEr2S6 crystal, from the Alexandria database.

a b c (Å): 6.968 6.968 7.082
angles (deg): 99.45 99.45 120.00
Fractional positions:
S  0.924  0.578  0.773
S  0.269  0.269  0.771
S  0.731  0.731  0.229
S  0.076  0.422  0.227
S  0.422  0.076  0.227
S  0.578  0.924  0.773
Pr  0.000  0.000  0.000
Na  0.834  0.166  0.500
Na  0.166  0.834  0.500
Na  0.500  0.500  0.500
Er  0.667  0.333  0.000
Er  0.333  0.667  0.000

raw total energy = -5.376 eV per atom
D(E_F) = 0.00 states/eV per cell
formation energy from raw total energies = -1.824 eV/atom
density = 4.35 g/cm3

---

The following is a PBE calculation of a relaxed Na4PrEr3S8 crystal, from the Alexandria database.

a b c (Å): 8.009 8.136 8.008
angles (deg): 119.51 120.00 90.00
Fractional positions:
S  0.752  0.272  0.020
S  0.248  0.728  0.497
S  0.248  0.728  0.980
S  0.741  0.723  0.482
S  0.268  0.272  0.020
S  0.752  0.272  0.503
S  0.732  0.728  0.980
S  0.259  0.277  0.518
Na  0.000  0.000  0.500
Na  0.500  0.000  0.000
Na  0.500  0.000  0.500
Na  0.000  0.000  0.000
Pr  0.000  0.500  0.000
Er  0.500  0.500  0.500
Er  0.000  0.500  0.500
Er  0.500  0.500  0.000

raw total energy = -5.376 eV per atom
D(E_F) = 0.00 states/eV per cell
formation energy from raw total energies = -1.828 eV/atom
density = 4.43 g/cm3

---

The following is a PBE calculation of a relaxed NaPr2Er3Se6 crystal, from the Alexandria database.

a b c (Å): 4.100 8.388 9.333
angles (deg): 104.03 102.69 90.00
Fractional positions:
Pr  0.171  0.344  0.343
Pr  0.829  0.656  0.657
Se  0.340  0.405  0.680
Se  0.997  0.257  0.994
Se  0.669  0.071  0.338
Se  0.003  0.743  0.006
Se  0.331  0.929  0.662
Se  0.660  0.595  0.320
Er  0.833  0.172  0.666
Er  0.167  0.828  0.334
Er  0.500  0.500  0.000
Na  0.500  0.000  0.000

raw total energy = -5.550 eV per atom
D(E_F) = 3.28 states/eV per cell
formation energy from raw total energies = -1.760 eV/atom
density = 7.01 g/cm3